## Cd3FeMo (GGA-PBE)

Data for a relaxed structure of Cd3FeMo.

As for the formation energy: 1.589 eV per atom. The density of states at the Fermi level comes out at 1.8765 states/eV/atom. The energy above the lowest structure with this stoichiometry comes out at 380 meV/atom. The value obtained for the calculated total energy is -2.819 eV per atom. The calculation puts the total magnetization at 5.65 μB/f.u.

It has space group Pm-3m (No. 221), with a = 5.2820 Å, b = 5.2820 Å, c = 5.2820 Å, α = 90.00°, β = 90.00° and γ = 90.00°. The inequivalent atoms are Cd at (0.0000, 0.0000, 0.5000), Fe at (0.5000, 0.5000, 0.5000) and Mo at (0.0000, 0.0000, 0.0000).